Entry from the Alexandria database: an optimized crystal structure of TbBePd4 (PBE).

The energy relative to the elements is -215 kJ/mol of formula units.

The structure belongs to space group P4/mbm (No. 127); the cell edges are 5.6511, 5.6511 and 6.8256 Å and the angles 90.00°, 90.00° and 90.00°. The distinct sites, in fractional coordinates, are Tb at (0.0000, 0.5000, 0.0000), Be at (0.0000, 0.0000, 0.5000), Pd at (0.0000, 0.0000, 0.1887) and Pd at (0.1621, 0.3379, 0.5000).



Entry from the Alexandria database: an optimized crystal structure of Cs2BaYMg (PBE).

The energy relative to the elements is 412 kJ/mol of formula units.

The structure belongs to space group P4/mmm (No. 123); the cell edges are 7.4526, 7.4526 and 6.7509 Å and the angles 90.00°, 90.00° and 90.00°. The distinct sites, in fractional coordinates, are Cs at (0.0000, 0.5000, 0.0000), Ba at (0.0000, 0.0000, 0.5000), Y at (0.0000, 0.0000, 0.0000) and Mg at (0.5000, 0.5000, 0.5000).



Entry from the Alexandria database: an optimized crystal structure of Ho4GeTeSe2 (PBE).

The formation energy without anion corrections is -1.460 eV per atom.

The structure belongs to space group I-4m2 (No. 119); the cell edges are 5.8743, 5.8743 and 11.7961 Å and the angles 90.00°, 90.00° and 90.00°. The distinct sites, in fractional coordinates, are Ho at (0.0000, 0.0000, 0.2403), Ho at (0.0000, 0.5000, 0.5083), Ge at (0.0000, 0.0000, 0.0000), Te at (0.0000, 0.5000, 0.2500), Se at (0.0000, 0.0000, 0.5000) and Se at (0.0000, 0.5000, 0.7500).



Entry from the Alexandria database: an optimized crystal structure of TaTlOs2 (PBE).

The energy relative to the elements is 180 kJ/mol of formula units.

The structure belongs to space group R-3m (No. 166, hexagonal axes); the cell edges are 3.0576, 3.0576 and 26.8262 Å and the angles 90.00°, 90.00° and 120.00°. The distinct sites, in fractional coordinates, are Ta at (0.0000, 0.0000, 0.0000), Tl at (0.0000, 0.0000, 0.5000) and Os at (0.0000, 0.0000, 0.2597).



Entry from the Alexandria database: an optimized crystal structure of SmYFe (PBE).

The energy relative to the elements is 33 kJ/mol of formula units.

The structure belongs to space group I4mm (No. 107); the cell edges are 3.4277, 3.4277 and 12.8834 Å and the angles 90.00°, 90.00° and 90.00°. The distinct sites, in fractional coordinates, are Sm at (0.0000, 0.0000, 0.0000), Y at (0.0000, 0.0000, 0.7449) and Fe at (0.0000, 0.0000, 0.3706).



Entry from the Alexandria database: an optimized crystal structure of KCr2Mo (PBE).

The energy relative to the elements is 526 kJ/mol of formula units.

The structure belongs to space group Immm (No. 71); the cell edges are 3.0530, 5.9740 and 10.0333 Å and the angles 90.00°, 90.00° and 90.00°. The distinct sites, in fractional coordinates, are K at (0.0000, 0.0000, 0.0000), Cr at (0.0000, 0.5000, 0.1938) and Mo at (0.0000, 0.0000, 0.5000).



Entry from the Alexandria database: an optimized crystal structure of La2ScTiMo (PBE).

The energy relative to the elements is 657 kJ/mol of formula units.

The structure belongs to space group P4/mmm (No. 123); the cell edges are 5.6467, 5.6467 and 4.6192 Å and the angles 90.00°, 90.00° and 90.00°. The distinct sites, in fractional coordinates, are La at (0.0000, 0.5000, 0.0000), Sc at (0.0000, 0.0000, 0.0000), Ti at (0.0000, 0.0000, 0.5000) and Mo at (0.5000, 0.5000, 0.5000).



Entry from the Alexandria database: an optimized crystal structure of FeSb2Ir (PBE).

The formation energy without anion corrections is 0.269 eV per atom.

The structure belongs to space group P4/mmm (No. 123); the cell edges are 4.6175, 4.6175 and 3.3674 Å and the angles 90.00°, 90.00° and 90.00°. The distinct sites, in fractional coordinates, are Fe at (0.0000, 0.0000, 0.0000), Sb at (0.0000, 0.5000, 0.5000) and Ir at (0.5000, 0.5000, 0.0000).



Entry from the Alexandria database: an optimized crystal structure of Ba5Pm (PBE).

The energy relative to the elements is 72 kJ/mol of formula units.

The structure belongs to space group Cmmm (No. 65); the cell edges are 6.8748, 20.6550 and 4.7066 Å and the angles 90.00°, 90.00° and 90.00°. The distinct sites, in fractional coordinates, are Ba at (0.0000, 0.0000, 0.0000), Ba at (0.0000, 0.1705, 0.5000), Ba at (0.0000, 0.3476, 0.0000) and Pm at (0.0000, 0.5000, 0.5000).



Entry from the Alexandria database: an optimized crystal structure of CaNd12Dy3 (PBE).

The energy relative to the elements is 41 kJ/mol of formula units.

The structure belongs to space group P4/mmm (No. 123); the cell edges are 5.1834, 5.1834 and 20.7022 Å and the angles 90.00°, 90.00° and 90.00°. The distinct sites, in fractional coordinates, are Ca at (0.0000, 0.0000, 0.0000), Nd at (0.0000, 0.5000, 0.1298), Nd at (0.0000, 0.5000, 0.3764), Nd at (0.5000, 0.5000, 0.0000), Nd at (0.5000, 0.5000, 0.2514), Nd at (0.5000, 0.5000, 0.5000), Dy at (0.0000, 0.0000, 0.2516) and Dy at (0.0000, 0.0000, 0.5000).



no.,calculated total energy (eV per cell)
1,-62.72
2,-7.41
3,-89.43
4,-104.43
5,-38.62
6,-51.44
7,-28.10
8,-24.49
9,-27.24
10,-72.60